LiLa2Ga3Ni4, relaxed, DFT PBE; total moment = 0.00 μB per formula unit; raw total energy = -48.64 eV for the cell shown; ΔE_f = -0.47 eV per atom; SG = P-4m2, No. 115; crystal system = tetragonal
1.0
4.112 0.000 0.000
0.000 4.112 0.000
0.000 0.000 10.393
Ga La Ni Li
3 2 4 1
Cartesian
0.000 0.000 5.197
2.056 0.000 9.140
0.000 2.056 1.253
0.000 2.056 7.827
2.056 0.000 2.566
2.056 0.000 6.654
0.000 2.056 3.739
2.056 2.056 0.000
0.000 0.000 0.000
2.056 2.056 5.197

LiAsPt2, relaxed, DFT PBE; total moment = 0.00 μB per formula unit; raw total energy = -20.34 eV for the cell shown; ΔE_f = -0.42 eV per atom; SG = P2/m, No. 10; crystal system = monoclinic
1.0
-0.855 0.294 2.821
3.682 -2.858 1.414
4.743 1.563 1.275
As Pt Li
1 2 1
Cartesian
3.785 -0.500 2.755
0.000 0.000 0.000
1.413 -1.282 2.118
2.372 0.781 0.638

YSc2Tl, relaxed, DFT PBE; total moment = 0.28 μB per formula unit; distance to the lowest polymorph of the same formula = 53 meV per atom; raw total energy = -22.08 eV for the cell shown; ΔE_f = -0.15 eV per atom; SG = P4mm, No. 99; crystal system = tetragonal
1.0
-0.744 -2.348 2.526
3.448 -0.484 0.565
-0.070 6.156 5.701
Y Tl Sc
1 1 2
Cartesian
1.300 3.149 5.773
-0.034 2.965 2.746
1.334 0.180 3.024
-0.001 0.108 0.100

Co2CuHg, relaxed, DFT PBE; total moment = 3.41 μB per formula unit; raw total energy = -32.32 eV for the cell shown; ΔE_f = 0.61 eV per atom; SG = I-42d, No. 122; crystal system = tetragonal
1.0
3.635 0.000 0.000
0.000 3.635 0.000
1.818 1.818 9.190
Co Hg Cu
4 2 2
Cartesian
4.544 4.371 6.892
2.554 0.909 2.297
2.727 2.900 6.892
1.082 2.727 2.297
3.635 1.818 4.595
0.000 0.000 0.000
1.818 3.635 4.595
1.818 1.818 0.000